CoIr3Ru4 after structural relaxation, computed with PBE.

Unit cell a=3.798 b=3.798 c=15.267 alpha=90.00 beta=90.00 gamma=90.00
Space group I4/mmm (No. 139)
Unique sites:
Co (0.000, 0.000, 0.000) x2
Ir (0.000, 0.000, 0.247) x4
Ir (0.000, 0.000, 0.500) x2
Ru (0.000, 0.500, 0.123) x8

## Properties
As for the crystal system: tetragonal. The value obtained for the formation energy is 0.037 eV/atom. The value obtained for the total energy is -8.812 eV/atom.